Compound: Cd3Fe
Source: the Alexandria database
Functional: PBE-GGA
Structure: relaxed

Cell: 2.998 4.741 5.314 Å, 90.00 90.00 90.00°
Space group Pmm2 (No. 25)
Asymmetric unit:
Cd (0.000, 0.000, 0.000)
Cd (0.000, 0.500, 0.335)
Cd (0.500, 0.000, 0.530)
Fe (0.500, 0.500, 0.839)

Properties
* energy relative to the elements: 0.27 eV/atom